VASP calculation (GGA-PBE) on a relaxed structure of Nd4SnBiC.

DOS at the Fermi energy in states/eV/cell: 15.26
Calculated total energy in eV per atom: -5.73
Total magnetic moment in μB per formula unit: 0.00

Cell: 7.120 16.509 7.122 Å, 90.00 90.00 90.00°
Space group Cmcm (No. 63)
Symmetry-distinct sites (fractional):
Nd1 0.000 0.089 0.250
Nd2 0.000 0.407 0.250
Nd3 0.250 0.250 0.000
Sn1 0.000 0.111 0.750
Bi1 0.000 0.393 0.750
C1 0.000 0.249 0.250